# MgCd2W

A geometry-optimized MgCd2W structure (PBE, Alexandria).

Geometry as POSCAR:
```
MgCd2W
1.0
-1.0421 3.1822 4.0496
-1.3645 -2.7380 4.2724
4.0488 -0.3459 -3.3315
Cd Mg W
2 1 1
Direct
0.0000 0.0000 0.0000
0.5000 0.5000 0.0000
0.2500 0.7500 0.5000
0.7500 0.2500 0.5000
```

DOS at the Fermi energy: 0.893 states/eV/atom
energy: -3.456 eV per atom



# MgCd2W

A geometry-optimized MgCd2W structure (PBE, Alexandria).

Geometry as POSCAR:
```
MgCd2W
1.0
2.8687 0.0000 0.0000
0.0000 2.8687 0.0000
0.0000 0.0000 9.3783
Cd Mg W
2 1 1
Direct
0.0000 0.0000 0.9839
0.5000 0.5000 0.2545
0.0000 0.0000 0.5171
0.5000 0.5000 0.7445
```

DOS at the Fermi energy: 0.404 states/eV/atom
energy: -3.776 eV per atom



# MgCd2W

A geometry-optimized MgCd2W structure (PBE, Alexandria).

Geometry as POSCAR:
```
MgCd2W
1.0
-3.4450 -0.0078 -3.4804
-1.4639 -2.1014 1.4537
-2.6698 3.6881 2.6344
Cd Mg W
2 1 1
Direct
0.0000 0.1250 0.9406
0.5000 0.1247 0.2948
0.0000 0.6260 0.4747
0.5000 0.6243 0.7900
```

DOS at the Fermi energy: 0.470 states/eV/atom
energy: -3.632 eV per atom



# MgCdW

A geometry-optimized MgCdW structure (PBE, Alexandria).

Geometry as POSCAR:
```
MgCdW
1.0
-1.5215 -4.2254 0.7115
-0.0376 -3.0072 -3.4103
2.9118 -3.4923 0.0161
Cd Mg W
1 1 1
Direct
0.7500 0.7500 0.7500
0.0000 0.0000 0.0000
0.5000 0.5000 0.5000
```

DOS at the Fermi energy: 1.047 states/eV/atom
energy: -3.826 eV per atom



# MgCdW4

A geometry-optimized MgCdW4 structure (PBE, Alexandria).

Geometry as POSCAR:
```
MgCdW4
1.0
0.0000 3.8075 3.8075
3.8075 0.0000 3.8075
3.8075 3.8075 0.0000
Mg Cd W
1 1 4
Direct
0.0000 0.0000 0.0000
0.7500 0.7500 0.7500
0.8755 0.3748 0.3748
0.3748 0.3748 0.8755
0.3748 0.8755 0.3748
0.3748 0.3748 0.3748
```

DOS at the Fermi energy: 1.344 states/eV/atom
energy: -8.437 eV per atom



# MgCd2W

A geometry-optimized MgCd2W structure (PBE, Alexandria).

Geometry as POSCAR:
```
MgCd2W
1.0
4.6886 0.0000 0.0000
0.0000 2.8630 0.0096
0.0000 1.3270 5.6642
Cd Mg W
2 1 1
Direct
0.0000 0.0534 0.9910
0.0000 0.4466 0.5090
0.5000 0.2500 0.2500
0.5000 0.7500 0.7500
```

DOS at the Fermi energy: 0.742 states/eV/atom
energy: -3.614 eV per atom



# MgCd2W

A geometry-optimized MgCd2W structure (PBE, Alexandria).

Geometry as POSCAR:
```
MgCd2W
1.0
-2.8078 0.4956 0.4445
-0.9770 -4.0467 -1.6599
0.4453 -2.3245 5.4049
Cd Mg W
2 1 1
Direct
0.0000 0.0000 0.9890
0.0000 0.0000 0.5110
0.5000 0.5000 0.2500
0.5000 0.5000 0.7500
```

DOS at the Fermi energy: 0.810 states/eV/atom
energy: -3.600 eV per atom



# Mg14CdW

A geometry-optimized Mg14CdW structure (PBE, Alexandria).

Geometry as POSCAR:
```
Mg14CdW
1.0
1.3897 0.2926 -6.0915
-2.5002 -5.2113 2.3906
-9.2587 3.5512 -1.9417
Mg Cd W
14 1 1
Direct
0.9995 0.4997 0.0000
0.0015 0.5007 0.5000
0.5003 0.0005 0.0000
0.4993 0.9985 0.5000
0.5003 0.4997 0.0000
0.4993 0.5007 0.5000
0.1603 0.8397 0.2403
0.1603 0.8397 0.7597
0.1603 0.3206 0.2403
0.1603 0.3206 0.7597
0.6794 0.8397 0.2403
0.6794 0.8397 0.7597
0.6667 0.3333 0.2508
0.6667 0.3333 0.7492
0.0000 0.0000 0.5000
0.0000 0.0000 0.0000
```

DOS at the Fermi energy: 0.554 states/eV/atom
energy: -2.143 eV per atom



# MgCd2W

A geometry-optimized MgCd2W structure (PBE, Alexandria).

Geometry as POSCAR:
```
MgCd2W
1.0
-0.2303 2.3826 -4.6986
1.3018 -0.0669 -5.1096
-4.2432 -2.2954 -2.1385
Cd Mg W
2 1 1
Direct
0.9992 0.9992 0.0196
0.7505 0.7505 0.7443
0.5024 0.5024 0.4858
0.2479 0.2479 0.2503
```

DOS at the Fermi energy: 0.502 states/eV/atom
energy: -3.628 eV per atom



# MgCdW

A geometry-optimized MgCdW structure (PBE, Alexandria).

Geometry as POSCAR:
```
MgCdW
1.0
7.2539 0.0052 0.0000
6.1567 3.8359 0.0000
-6.7053 -1.9206 1.9924
Cd Mg W
1 1 1
Direct
0.0042 0.0042 0.0000
0.3256 0.3256 0.0000
0.6702 0.6702 0.0000
```

DOS at the Fermi energy: 0.583 states/eV/atom
energy: -4.755 eV per atom



# MgCd3W

A geometry-optimized MgCd3W structure (PBE, Alexandria).

Geometry as POSCAR:
```
MgCd3W
1.0
-0.6342 -1.7106 4.7538
-3.9477 -2.8222 -1.5422
3.1529 -3.8777 -0.9748
Mg W Cd
1 1 3
Direct
0.0000 0.0000 0.0000
0.5000 0.5000 0.5000
0.0000 0.5000 0.0000
0.0000 0.0000 0.5000
0.5000 0.0000 0.0000
```

DOS at the Fermi energy: 0.605 states/eV/atom
energy: -1.936 eV per atom



# MgCdW

A geometry-optimized MgCdW structure (PBE, Alexandria).

Geometry as POSCAR:
```
MgCdW
1.0
2.9354 0.0000 0.0000
-1.4677 2.5422 0.0000
0.0000 0.0000 7.4617
Cd Mg W
1 1 1
Direct
0.0000 0.0000 0.9937
0.6667 0.3333 0.3464
0.3333 0.6667 0.6599
```

DOS at the Fermi energy: 0.510 states/eV/atom
energy: -4.722 eV per atom



> DOS at the Fermi energy of number 6 (MgCd2W)?

0.742 states/eV/atom